1.
The following is a PBE calculation of a relaxed structure of BaThPd2, from the Alexandria database.

Unit cell a=3.7479 b=3.7479 c=7.8494 alpha=90.00 beta=90.00 gamma=90.00
Fractional positions:
Pd1 0.0000 0.0000 0.8122
Pd2 0.0000 0.0000 0.1878
Ba1 0.5000 0.5000 0.5000
Th1 0.5000 0.5000 0.0000

Calculated formation energy in eV/atom: -0.646
Total magnetic moment in μB/f.u.: 0.0
Density of states at the Fermi level in states/eV/cell: 3.583

2.
The following is a PBE calculation of a relaxed structure of BaAs2W, from the Alexandria database.

Unit cell a=6.0260 b=6.0260 c=6.0260 alpha=137.85 beta=137.85 gamma=61.14
Each line ends with the local moment (μB).
Fractional positions:
As1 0.0000 0.0000 0.0000  -0.13
As2 0.2500 0.7500 0.5000  -0.10
Ba1 0.5000 0.5000 0.0000  0.06
W1 0.7500 0.2500 0.5000  2.33

Calculated formation energy in eV/atom: 0.773
Total magnetic moment in μB/f.u.: 2.7
Density of states at the Fermi level in states/eV/cell: 2.396

Q: Which of these has the highest calculated formation energy?
A: BaAs2W